No. 1
DFT (PBE) results for a relaxed structure of TePtCl2.

Cell: 4.386 5.357 4.379 Å, 67.68 85.95 112.37°
Positions (direct):
Cl 0.500 0.000 0.500
Cl 0.000 0.000 0.000
Te 0.500 0.500 0.000
Pt 0.000 0.500 0.500

Properties
Its formation energy (no corrections) is 0.225 eV per atom. The value obtained for the density of states at the Fermi level is 2.3 states/eV/cell. The total magnetization is 0.0 μB/f.u. The value obtained for the calculated volume is 85.18 Å³ per cell.



No. 2
DFT (PBE) results for a relaxed structure of Te2PtCl.

Cell: 7.370 7.370 6.807 Å, 57.22 57.22 90.00°
Positions (direct):
Te 0.068 0.625 0.250
Te 0.875 0.932 0.750
Te 0.682 0.125 0.250
Te 0.375 0.318 0.750
Cl 0.250 0.750 0.500
Cl 0.500 0.500 0.000
Pt 0.000 0.000 0.000
Pt 0.750 0.250 0.500

Properties
Its formation energy (no corrections) is -0.032 eV per atom. The value obtained for the density of states at the Fermi level is 8.7 states/eV/cell. The total magnetization is 0.0 μB/f.u. The value obtained for the calculated volume is 237.89 Å³ per cell.



No. 3
DFT (PBE) results for a relaxed structure of TePt3Cl.

Cell: 5.022 5.022 5.022 Å, 90.00 90.00 90.00°
Positions (direct):
Pt 0.500 0.000 0.000
Pt 0.000 0.000 0.500
Pt 0.000 0.500 0.000
Cl 0.500 0.500 0.500
Te 0.000 0.000 0.000

Properties
Its formation energy (no corrections) is 0.943 eV per atom. The value obtained for the density of states at the Fermi level is 6.9 states/eV/cell. The total magnetization is 0.0 μB/f.u. The value obtained for the calculated volume is 126.65 Å³ per cell.



No. 4
DFT (PBE) results for a relaxed structure of Te2PtCl.

Cell: 3.277 3.277 9.473 Å, 90.00 90.00 90.00°
Positions (direct):
Pt 0.500 0.500 0.769
Te 0.500 0.500 0.226
Te 0.000 0.000 0.926
Cl 0.000 0.000 0.579

Properties
Its formation energy (no corrections) is 0.150 eV per atom. The value obtained for the density of states at the Fermi level is 2.7 states/eV/cell. The total magnetization is 0.0 μB/f.u. The value obtained for the calculated volume is 101.74 Å³ per cell.



No. 5
DFT (PBE) results for a relaxed structure of TePtCl2.

Cell: 3.568 3.568 11.152 Å, 90.00 90.00 125.05°
Site moments in Bohr magnetons follow the coordinates.
Positions (direct):
Cl 0.000 0.000 0.103  0.00
Cl 0.000 0.000 0.397  0.00
Te 0.500 0.500 0.750  0.15
Pt 0.500 0.500 0.250  0.00

Properties
Its formation energy (no corrections) is -0.011 eV per atom. The value obtained for the density of states at the Fermi level is 2.4 states/eV/cell. The total magnetization is 0.3 μB/f.u. The value obtained for the calculated volume is 116.23 Å³ per cell.



No. 6
DFT (PBE) results for a relaxed structure of TePtCl2.

Cell: 3.383 5.943 5.956 Å, 58.66 90.00 90.00°
Positions (direct):
Pt 0.500 0.250 0.250
Cl 0.000 0.410 0.409
Cl 0.000 0.090 0.091
Te 0.500 0.750 0.750

Properties
Its formation energy (no corrections) is -0.127 eV per atom. The value obtained for the density of states at the Fermi level is 2.3 states/eV/cell. The total magnetization is 0.0 μB/f.u. The value obtained for the calculated volume is 102.27 Å³ per cell.



No. 7
DFT (PBE) results for a relaxed structure of TePtCl2.

Cell: 4.538 4.282 4.282 Å, 90.00 90.00 90.00°
Positions (direct):
Pt 0.500 0.500 0.000
Cl 0.000 0.500 0.500
Cl 0.000 0.000 0.000
Te 0.500 0.000 0.500

Properties
Its formation energy (no corrections) is 0.631 eV per atom. The value obtained for the density of states at the Fermi level is 5.1 states/eV/cell. The total magnetization is 0.0 μB/f.u. The value obtained for the calculated volume is 83.20 Å³ per cell.



No. 8
DFT (PBE) results for a relaxed structure of Te3PtCl.

Cell: 5.339 5.339 5.339 Å, 90.00 90.00 90.00°
Positions (direct):
Cl 0.500 0.500 0.500
Te 0.500 0.000 0.000
Te 0.000 0.500 0.000
Te 0.000 0.000 0.500
Pt 0.000 0.000 0.000

Properties
Its formation energy (no corrections) is 0.351 eV per atom. The value obtained for the density of states at the Fermi level is 8.7 states/eV/cell. The total magnetization is 0.0 μB/f.u. The calculation puts the energy above the most stable polymorph in this dataset at 3.538 eV per formula unit. The value obtained for the calculated volume is 152.18 Å³ per cell.



No. 9
DFT (PBE) results for a relaxed structure of Te3PtCl.

Cell: 5.256 5.256 5.256 Å, 90.00 90.00 90.00°
Positions (direct):
Te 0.500 0.000 0.000
Te 0.000 0.000 0.500
Te 0.000 0.500 0.000
Pt 0.500 0.500 0.500
Cl 0.000 0.000 0.000

Properties
Its formation energy (no corrections) is 1.232 eV per atom. The value obtained for the density of states at the Fermi level is 7.9 states/eV/cell. The total magnetization is 0.0 μB/f.u. The calculation puts the energy above the most stable polymorph in this dataset at 7.940 eV per formula unit. The value obtained for the calculated volume is 145.19 Å³ per cell.



No. 10
DFT (PBE) results for a relaxed structure of Te2PtCl.

Cell: 11.439 11.439 11.439 Å, 15.78 15.78 15.78°
Positions (direct):
Cl 0.500 0.500 0.500
Te 0.077 0.077 0.077
Te 0.923 0.923 0.923
Pt 0.000 0.000 0.000

Properties
Its formation energy (no corrections) is 0.168 eV per atom. The value obtained for the density of states at the Fermi level is 2.7 states/eV/cell. The total magnetization is 0.0 μB/f.u. The value obtained for the calculated volume is 96.46 Å³ per cell.



No. 11
DFT (PBE) results for a relaxed structure of Te2PtCl.

Cell: 4.092 4.092 7.387 Å, 75.60 75.60 60.19°
Positions (direct):
Te 0.470 0.470 0.565
Te 0.030 0.030 0.935
Pt 0.750 0.750 0.750
Cl 0.250 0.250 0.250

Properties
Its formation energy (no corrections) is -0.454 eV per atom. The value obtained for the density of states at the Fermi level is 2.0 states/eV/cell. The total magnetization is 0.0 μB/f.u. The value obtained for the calculated volume is 102.79 Å³ per cell.



No. 12
DFT (PBE) results for a relaxed structure of TePtCl2.

Cell: 4.824 4.824 4.824 Å, 120.08 120.08 89.86°
Positions (direct):
Pt 0.500 0.500 0.000
Cl 0.000 0.000 0.000
Cl 0.250 0.750 0.500
Te 0.750 0.250 0.500

Properties
Its formation energy (no corrections) is 0.271 eV per atom. The value obtained for the density of states at the Fermi level is 1.2 states/eV/cell. The total magnetization is 0.0 μB/f.u. The value obtained for the calculated volume is 79.27 Å³ per cell.



no.,total DFT energy (no corrections) (eV/f.u.)
1,-12.0
2,-14.3
3,-18.4
4,-13.6
5,-12.9
6,-13.4
7,-10.4
8,-15.6
9,-11.2
10,-13.5
11,-16.0
12,-11.8